! Sr2CdIn | Alexandria | PBE | optimized geometry; values from VASP
&SYSTEM
  ibrav = 0, nat = 4, ntyp = 3
/
ATOMIC_SPECIES
In 114.82 In.upf
Sr 87.62 Sr.upf
Cd 112.41 Cd.upf
ATOMIC_POSITIONS crystal
In 0.750 0.750 0.750
Sr 0.999 0.999 0.995
Sr 0.501 0.501 0.505
Cd 0.250 0.250 0.250
CELL_PARAMETERS angstrom
-3.461 4.058 -1.744
-3.028 1.002 -4.616
-6.454 -2.495 1.682
! Formation energy from the elements   -0.183 eV/atom
! Energy   -1.937 eV/atom
! Size of the total moment   0.0 μB per formula unit